[1]
This record from Alexandria describes BeCdOs2 after structural relaxation. The functional is GGA-PBE.

Total magnetization   0.0 μB per formula unit
E_form   0.4670 eV per atom
Relative energy among the computed polymorphs   316 meV/atom

a b c (Å): 4.5676 4.5676 5.0398
angles (deg): 97.21 97.21 36.05
Fractional coordinates of all 4 atoms:
1 Be 0.0000 0.0000 0.0000
2 Cd 0.7739 0.7739 0.2978
3 Os 0.2670 0.2670 0.8084
4 Os 0.5263 0.5263 0.6330

***

[2]
This record from Alexandria describes BeCd2Os after structural relaxation. The functional is GGA-PBE.

Total magnetization   0.6 μB per formula unit
E_form   0.5362 eV per atom

a b c (Å): 5.3439 5.3439 5.3439
angles (deg): 146.25 132.43 59.59
Fractional coordinates of all 4 atoms:
1 Be 0.0000 0.0000 0.0000
2 Cd 0.2188 0.7188 0.5000
3 Cd 0.7812 0.2812 0.5000
4 Os 0.5000 0.5000 0.0000

***

[3]
This record from Alexandria describes Be2CdOs2 after structural relaxation. The functional is GGA-PBE.

Total magnetization   0.0 μB per formula unit
E_form   0.3155 eV per atom
Relative energy among the computed polymorphs   154 meV/atom

a b c (Å): 7.0848 7.0848 2.6930
angles (deg): 90.00 90.00 90.00
Fractional coordinates of all 10 atoms:
1 Be 0.1645 0.3355 0.0000
2 Be 0.3355 0.8355 0.0000
3 Be 0.6645 0.1645 0.0000
4 Be 0.8355 0.6645 0.0000
5 Cd 0.0000 0.0000 0.5000
6 Cd 0.5000 0.5000 0.5000
7 Os 0.1274 0.6274 0.5000
8 Os 0.3726 0.1274 0.5000
9 Os 0.6274 0.8726 0.5000
10 Os 0.8726 0.3726 0.5000

***

[4]
This record from Alexandria describes BeCdOs2 after structural relaxation. The functional is GGA-PBE.

Total magnetization   0.0 μB per formula unit
E_form   0.7685 eV per atom
Relative energy among the computed polymorphs   618 meV/atom

a b c (Å): 4.8661 4.8661 2.8225
angles (deg): 90.00 90.00 116.79
Fractional coordinates of all 4 atoms:
1 Be 0.0000 0.0000 0.0000
2 Cd 0.5000 0.5000 0.0000
3 Os 0.0000 0.5000 0.5000
4 Os 0.5000 0.0000 0.5000

***

[5]
This record from Alexandria describes BeCdOs2 after structural relaxation. The functional is GGA-PBE.

Total magnetization   0.0 μB per formula unit
E_form   0.3103 eV per atom
Relative energy among the computed polymorphs   160 meV/atom

a b c (Å): 2.8626 2.8626 6.9122
angles (deg): 90.00 90.00 90.00
Fractional coordinates of all 4 atoms:
1 Be 0.0000 0.0000 0.0000
2 Cd 0.0000 0.0000 0.5000
3 Os 0.5000 0.5000 0.1813
4 Os 0.5000 0.5000 0.8187

***

[6]
This record from Alexandria describes BeCdOs2 after structural relaxation. The functional is GGA-PBE.

Total magnetization   0.0 μB per formula unit
E_form   0.6506 eV per atom
Relative energy among the computed polymorphs   500 meV/atom

a b c (Å): 5.2802 5.2802 2.7264
angles (deg): 103.45 103.45 118.93
Fractional coordinates of all 4 atoms:
1 Be 0.0000 0.0000 0.0000
2 Cd 0.5000 0.5000 0.0000
3 Os 0.0000 0.5000 0.5000
4 Os 0.5000 0.0000 0.5000

***

[7]
This record from Alexandria describes BeCd2Os after structural relaxation. The functional is GGA-PBE.

Total magnetization   0.0 μB per formula unit
E_form   0.5484 eV per atom

a b c (Å): 3.8924 3.8924 4.1761
angles (deg): 90.00 90.00 90.00
Fractional coordinates of all 4 atoms:
1 Be 0.0000 0.0000 0.0000
2 Cd 0.0000 0.5000 0.5000
3 Cd 0.5000 0.0000 0.5000
4 Os 0.5000 0.5000 0.0000

***

[8]
This record from Alexandria describes Be3CdOs after structural relaxation. The functional is GGA-PBE.

Total magnetization   0.0 μB per formula unit
E_form   0.6140 eV per atom
Relative energy among the computed polymorphs   0 meV/atom

a b c (Å): 4.2594 4.2594 4.2594
angles (deg): 90.00 90.00 90.00
Fractional coordinates of all 5 atoms:
1 Be 0.0000 0.0000 0.5000
2 Be 0.0000 0.5000 0.0000
3 Be 0.5000 0.0000 0.0000
4 Cd 0.5000 0.5000 0.5000
5 Os 0.0000 0.0000 0.0000

***

[9]
This record from Alexandria describes BeCd2Os after structural relaxation. The functional is GGA-PBE.

Total magnetization   0.0 μB per formula unit
E_form   0.6349 eV per atom

a b c (Å): 9.0747 9.0747 9.0747
angles (deg): 18.22 18.22 18.22
Fractional coordinates of all 4 atoms:
1 Be 0.0000 0.0000 0.0000
2 Cd 0.2557 0.2557 0.2557
3 Cd 0.7443 0.7443 0.7443
4 Os 0.5000 0.5000 0.5000

***

[10]
This record from Alexandria describes BeCd2Os after structural relaxation. The functional is GGA-PBE.

Total magnetization   0.6 μB per formula unit
E_form   0.8896 eV per atom

a b c (Å): 10.0761 10.0761 10.0761
angles (deg): 158.40 158.40 30.74
Fractional coordinates of all 8 atoms:
1 Be 0.0000 0.0000 0.0000
2 Be 0.7500 0.2500 0.5000
3 Cd 0.1247 0.6250 0.9997
4 Cd 0.3750 0.3747 0.4997
5 Cd 0.6253 0.1250 0.0003
6 Cd 0.8750 0.8753 0.5003
7 Os 0.2500 0.7500 0.5000
8 Os 0.5000 0.5000 0.0000

***

[11]
This record from Alexandria describes Be2CdOsPb after structural relaxation. The functional is GGA-PBE.

Total magnetization   1.1 μB per formula unit
E_form   1.6848 eV per atom

a b c (Å): 4.4647 4.4647 5.3154
angles (deg): 90.00 90.00 90.00
Fractional coordinates of all 5 atoms:
1 Be 0.0000 0.5000 0.0000
2 Be 0.5000 0.0000 0.0000
3 Cd 0.0000 0.0000 0.5000
4 Os 0.5000 0.5000 0.5000
5 Pb 0.5000 0.5000 0.0000

***

[12]
This record from Alexandria describes BeCd2SbOs after structural relaxation. The functional is GGA-PBE.

Total magnetization   2.2 μB per formula unit
Formation energy (no corrections)   1.694 eV per atom

a b c (Å): 5.4957 5.4957 4.2931
angles (deg): 90.00 90.00 90.00
Fractional coordinates of all 5 atoms:
1 Be 0.0000 0.0000 0.0000
2 Cd 0.0000 0.5000 0.5000
3 Cd 0.5000 0.0000 0.5000
4 Sb 0.0000 0.0000 0.5000
5 Os 0.5000 0.5000 0.0000